1.
This record from Alexandria describes a relaxed structure of GaSbTeW2. The functional is PBE.

The structure in POSCAR format:
```
GaSbTeW2
1.0
5.0303 0.0000 0.0000
0.0000 5.0303 0.0000
0.0000 0.0000 5.1823
Ga Sb Te W
1 1 1 2
Cartesian
0.0000 0.0000 0.0000
2.5151 2.5151 0.0000
0.0000 0.0000 2.5912
0.0000 2.5151 2.5912
2.5151 0.0000 2.5912
```

Results
Density of states at the Fermi level: 4.79 states/eV/f.u.
E_form (uncorrected): 1.997 eV/atom

---

2.
This record from Alexandria describes a relaxed structure of TbHoNiRu. The functional is PBE.

The structure in POSCAR format:
```
TbHoNiRu
1.0
3.3973 0.0000 0.0000
0.0000 3.3973 0.0000
0.0000 0.0000 6.7661
Tb Ho Ni Ru
1 1 1 1
Cartesian
0.0000 0.0000 0.0000
0.0000 0.0000 3.3643
1.6986 1.6986 5.0399
1.6986 1.6986 1.7000
```

Results
Density of states at the Fermi level: 2.07 states/eV/f.u.
Excess energy over the best structure of this formula in the dataset: 0.000 eV per formula unit
E_form: -409 meV/atom